! LaSnRu2C PBE optimized geometry; values from VASP
! N(E_F)   0.82 states/eV per atom
! Electronic total energy   -7.6657 eV/atom
! Energy above the most stable polymorph in this dataset   0.0000 eV per atom
! E_form   -0.32 eV/atom
&SYSTEM
  ibrav = 0, nat = 10, ntyp = 4
/
ATOMIC_SPECIES
La 138.91 La.upf
Sn 118.71 Sn.upf
Ru 101.07 Ru.upf
C 12.01 C.upf
CELL_PARAMETERS angstrom
2.128 -5.835 0.000
2.128 5.835 0.000
0.000 0.000 7.544
ATOMIC_POSITIONS crystal
La 0.051 0.949 0.750
La 0.949 0.051 0.250
Sn 0.228 0.772 0.250
Sn 0.772 0.228 0.750
Ru 0.345 0.655 0.559
Ru 0.345 0.655 0.941
Ru 0.655 0.345 0.059
Ru 0.655 0.345 0.441
C 0.500 0.500 0.000
C 0.500 0.500 0.500

! La2SnRuC PBE optimized geometry; values from VASP
! N(E_F)   0.53 states/eV per atom
! Electronic total energy   -6.8475 eV/atom
! E_form   -0.38 eV/atom
&SYSTEM
  ibrav = 0, nat = 5, ntyp = 4
/
ATOMIC_SPECIES
La 138.91 La.upf
Sn 118.71 Sn.upf
Ru 101.07 Ru.upf
C 12.01 C.upf
CELL_PARAMETERS angstrom
5.403 0.000 0.000
0.000 5.403 0.000
0.000 0.000 3.986
ATOMIC_POSITIONS crystal
La 0.000 0.500 0.000
La 0.500 0.000 0.000
Sn 0.000 0.000 0.500
Ru 0.500 0.500 0.500
C 0.500 0.500 0.000

! LaSnRu2C PBE optimized geometry; values from VASP
! N(E_F)   0.74 states/eV per atom
! Electronic total energy   -7.0491 eV/atom
! Energy above the most stable polymorph in this dataset   0.6166 eV per atom
! E_form   0.29 eV/atom
&SYSTEM
  ibrav = 0, nat = 5, ntyp = 4
/
ATOMIC_SPECIES
La 138.91 La.upf
Sn 118.71 Sn.upf
Ru 101.07 Ru.upf
C 12.01 C.upf
CELL_PARAMETERS angstrom
4.280 0.000 0.000
0.000 4.280 0.000
0.000 0.000 4.861
ATOMIC_POSITIONS crystal
La 0.000 0.000 0.000
Sn 0.500 0.500 0.000
Ru 0.000 0.500 0.500
Ru 0.500 0.000 0.500
C 0.500 0.500 0.500

Question: Which value of electronic total energy does entry 2 give?
Answer: -6.8475 eV/atom